[1]
This record from Alexandria describes a relaxed structure of AlTc2Hg. The functional is PBE.

Summary:
D(E_F) ... 4.32 states/eV per cell
ΔH_f (0 K) ... 274 meV per atom
Energy above the most stable polymorph in this dataset ... 0.2562 eV per atom

abc: 4.824 4.824 4.947
angles: 78.00 78.00 35.26
Element x y z (fractional)
Al (0.750, 0.750, 0.750)
Tc (0.008, 0.008, 0.970)
Tc (0.492, 0.492, 0.530)
Hg (0.250, 0.250, 0.250)

=====

[2]
This record from Alexandria describes a relaxed structure of Sm3YSb2C. The functional is PBE.

Summary:
D(E_F) ... 6.53 states/eV per cell
Raw formation energy ... -0.78 eV/atom

abc: 4.809 4.897 8.777
angles: 106.20 105.90 90.00
Element x y z (fractional)
Sm (0.160, 0.160, 0.320)
Sm (0.000, 0.500, 0.000)
Sb (0.360, 0.360, 0.719)
Sm (0.840, 0.840, 0.680)
Y (0.500, 0.000, 0.000)
Sb (0.640, 0.640, 0.281)
C (0.000, 0.000, 0.000)

=====

[3]
This record from Alexandria describes a relaxed structure of HSe2. The functional is PBE.

Summary:
D(E_F) ... 0.19 states/eV per cell
E ... -19.9 eV per cell

abc: 6.755 6.755 6.014
angles: 85.47 108.03 142.64
Element x y z (fractional)
Se (0.786, 0.813, 0.099)
Se (0.214, 0.187, 0.901)
H (0.000, 0.250, 0.750)
Se (0.214, 0.687, 0.401)
Se (0.786, 0.313, 0.599)
H (0.000, 0.750, 0.250)

=====

[4]
This record from Alexandria describes a relaxed structure of LiNpPb2O5. The functional is PBE.

Summary:
D(E_F) ... 6.34 states/eV per cell
Raw formation energy ... -1.93 eV/atom

abc: 3.458 7.415 11.522
angles: 90.00 90.00 103.49
Site moments in Bohr magnetons follow the coordinates.
Element x y z (fractional)
O (0.687, 0.374, 0.912)  -0.07
O (0.657, 0.315, 0.487)  -0.06
O (0.285, 0.569, 0.643)  -0.08
O (0.511, 0.021, 0.281)  0.00
Li (0.456, 0.911, 0.436)  0.00
O (0.489, 0.979, 0.781)  0.00
Pb (0.858, 0.715, 0.829)  0.01
Pb (0.142, 0.285, 0.329)  0.01
O (0.313, 0.626, 0.412)  -0.07
Np (0.798, 0.597, 0.528)  2.23
Li (0.544, 0.089, 0.936)  0.00
Pb (0.063, 0.127, 0.675)  0.00
O (0.715, 0.431, 0.143)  -0.08
O (0.943, 0.885, 0.533)  -0.06
Np (0.202, 0.403, 0.028)  2.23
O (0.057, 0.115, 0.033)  -0.06
O (0.343, 0.685, 0.987)  -0.06
Pb (0.937, 0.873, 0.175)  0.00

=====

Q: Which value of D(E_F) does entry 2 give?
A: 6.53 states/eV per cell